Record 1
Mg2FeRe: relaxed, PBE-GGA.

a = 5.3072 Å, b = 5.3072 Å, c = 5.3072 Å
α = 147.32°, β = 128.40°, γ = 62.43°
Last column: nearest neighbours and their distance in Å.
Fractional coordinates of all 4 atoms:
Mg: 0.0000 0.0000 0.0000  4 Fe 2.76, 2 Re 2.89, 6 Mg 2.97-3.03
Mg: 0.7168 0.2168 0.5000  2 Fe 2.69, 4 Re 2.80, 4 Mg 2.97-2.99
Fe: 0.4706 0.4706 0.0000  2 Re 2.34
Re: 0.2721 0.7721 0.5000  2 Fe 2.34

Properties
energy above the most stable polymorph in this dataset = 239.6 meV per atom
DOS(E_F) = 3.00 states/eV/f.u.
DFT formation energy = 35.2 kJ/mol of atoms
space group = Imm2 (44)
crystal system = orthorhombic

Record 2
Rb4AgCl5: relaxed, PBE-GGA.

a = 7.9241 Å, b = 7.9241 Å, c = 7.9241 Å
α = 100.20°, β = 100.20°, γ = 130.23°
Last column: nearest neighbours and their distance in Å.
Fractional coordinates of all 10 atoms:
Rb: 0.0958 0.2972 0.3930  6 Cl 3.19-3.50
Rb: 0.2972 0.9042 0.2014  6 Cl 3.19-3.50
Rb: 0.7028 0.0958 0.7986  6 Cl 3.19-3.50
Rb: 0.9042 0.7028 0.6070  6 Cl 3.19-3.50
Ag: 0.5540 0.5540 0.0000  5 Cl 2.65-2.92
Cl: 0.2263 0.5853 0.8168  1 Ag 2.92, 1 Rb 3.25
Cl: 0.4094 0.2263 0.6410  1 Ag 2.92, 1 Rb 3.25
Cl: 0.5853 0.7685 0.3590  1 Ag 2.92, 1 Rb 3.25
Cl: 0.7685 0.4094 0.1832  1 Ag 2.92, 1 Rb 3.25
Cl: 0.9512 0.9512 0.0000  1 Ag 2.65

Properties
formation energy from raw total energies = -1.611 eV/atom
DOS(E_F) = 0.00 states/eV/f.u.
space group = I4 (79)
crystal system = tetragonal

Record 3
CaTi2OsPt: relaxed, PBE-GGA.

a = 4.4385 Å, b = 4.4385 Å, c = 4.5572 Å
α = 90.00°, β = 90.00°, γ = 90.00°
Last column: nearest neighbours and their distance in Å.
Fractional coordinates of all 5 atoms:
Ca: 0.0000 0.0000 0.0000  4 Ti 2.22, 2 Os 2.28
Ti: 0.0000 0.5000 0.0000  2 Ca 2.22
Ti: 0.5000 0.0000 0.0000  2 Ca 2.22
Os: 0.0000 0.0000 0.5000  2 Ca 2.28
Pt: 0.5000 0.5000 0.5000  4 Os 3.14, 8 Ti 3.18

Properties
DOS(E_F) = 8.03 states/eV/f.u.
DFT formation energy = 181.7 kJ/mol of atoms
space group = P4/mmm (123)
crystal system = tetragonal

Record 4
Cs3MgTl: relaxed, PBE-GGA.

a = 7.4245 Å, b = 7.4245 Å, c = 7.4245 Å
α = 90.00°, β = 90.00°, γ = 90.00°
Last column: nearest neighbours and their distance in Å.
Fractional coordinates of all 5 atoms:
Cs: 0.0000 0.0000 0.5000  2 Tl 3.71
Cs: 0.0000 0.5000 0.0000  2 Tl 3.71
Cs: 0.5000 0.0000 0.0000  2 Tl 3.71
Mg: 0.5000 0.5000 0.5000  12 Cs 5.25
Tl: 0.0000 0.0000 0.0000  6 Cs 3.71

Properties
energy above the most stable polymorph in this dataset = 0.0 meV per atom
DOS(E_F) = 3.09 states/eV/f.u.
DFT formation energy = 24.6 kJ/mol of atoms
space group = Pm-3m (221)
crystal system = cubic

Record 5
RbInGe: relaxed, PBE-GGA.

a = 6.4967 Å, b = 6.4967 Å, c = 6.4967 Å
α = 133.66°, β = 102.77°, γ = 95.08°
Last column: nearest neighbours and their distance in Å.
Fractional coordinates of all 6 atoms:
Rb: 0.1643 0.2500 0.4143  4 In 3.50-3.81, 4 Ge 3.55-3.73, 2 Rb 3.69
Rb: 0.8357 0.7500 0.5857  4 In 3.50-3.81, 4 Ge 3.55-3.73, 2 Rb 3.69
In: 0.2362 0.5858 0.1504  2 Ge 2.87-2.95, 2 In 3.02
In: 0.4355 0.0858 0.8496  2 Ge 2.87-2.95, 2 In 3.02
Ge: 0.5749 0.9134 0.1615  2 In 2.87-2.95, 2 Ge 2.93
Ge: 0.7519 0.4134 0.8385  2 In 2.87-2.95, 2 Ge 2.93

Properties
DOS(E_F) = 0.89 states/eV/f.u.
DFT formation energy = -2.0 kJ/mol of atoms
space group = Ima2 (46)
crystal system = orthorhombic

Record 6
DyBiIrO6: relaxed, PBE-GGA.

a = 5.5550 Å, b = 5.5550 Å, c = 9.5378 Å
α = 90.00°, β = 90.00°, γ = 120.00°
Last column: nearest neighbours and their distance in Å.
Fractional coordinates of all 18 atoms:
Dy: 0.3333 0.6667 0.2500  6 O 2.25
Dy: 0.6667 0.3333 0.7500  6 O 2.25
Bi: 0.0000 0.0000 0.0000  6 O 2.36
Bi: 0.0000 0.0000 0.5000  6 O 2.36
Ir: 0.3333 0.6667 0.7500  6 O 1.97
Ir: 0.6667 0.3333 0.2500  6 O 1.97
O: 0.0389 0.3759 0.6337  1 Ir 1.97
O: 0.0389 0.6630 0.8663  1 Ir 1.97
O: 0.3370 0.3759 0.8663  1 Ir 1.97
O: 0.3370 0.9611 0.6337  1 Ir 1.97
O: 0.3759 0.0389 0.1337  1 Ir 1.97
O: 0.3759 0.3370 0.3663  1 Ir 1.97
O: 0.6241 0.6630 0.6337  1 Ir 1.97
O: 0.6241 0.9611 0.8663  1 Ir 1.97
O: 0.6630 0.0389 0.3663  1 Ir 1.97
O: 0.6630 0.6241 0.1337  1 Ir 1.97
O: 0.9611 0.3370 0.1337  1 Ir 1.97
O: 0.9611 0.6241 0.3663  1 Ir 1.97

Properties
formation energy from raw total energies = -1.562 eV/atom
DOS(E_F) = 6.40 states/eV/f.u.
space group = P-31c (163)
crystal system = trigonal

Record 7
Ac6Pd2RuI3: relaxed, PBE-GGA.

a = 7.6715 Å, b = 7.6715 Å, c = 9.0530 Å
α = 98.11°, β = 98.11°, γ = 120.00°
Last column: nearest neighbours and their distance in Å.
Fractional coordinates of all 12 atoms:
Ac: 0.0624 0.3829 0.1870  1 Ru 2.95, 2 Pd 3.07
Ac: 0.2582 0.2582 0.8128  1 Ru 2.95, 2 Pd 3.07
Ac: 0.3829 0.0624 0.1870  1 Ru 2.95, 2 Pd 3.07
Ac: 0.6171 0.9376 0.8130  1 Ru 2.95, 2 Pd 3.07
Ac: 0.7418 0.7418 0.1872  1 Ru 2.95, 2 Pd 3.07
Ac: 0.9376 0.6171 0.8130  1 Ru 2.95, 2 Pd 3.07
Pd: 0.3332 0.6668 0.0000  6 Ac 3.07
Pd: 0.6668 0.3332 0.0000  6 Ac 3.07
Ru: 0.0000 0.0000 0.0000  6 Ac 2.95
I: 0.1654 0.8346 0.5000  6 Ac 3.69-3.81
I: 0.5000 0.5000 0.5000  6 Ac 3.70-3.80
I: 0.8346 0.1654 0.5000  6 Ac 3.69-3.81

Properties
formation energy from raw total energies = -0.931 eV/atom
DOS(E_F) = 5.46 states/eV/f.u.
space group = C2/m (12)
crystal system = monoclinic